Compound: BaAg4Pd2
Source: Alexandria via LeMat-Bulk
Functional: PBE-GGA
Structure: optimized geometry

- Energy of formation from the pure elements: 4.31 kcal/mol of atoms
- Excess energy over the best structure of this formula in the dataset: 359 meV per atom

Structure (CIF):
```
data_BaAg4Pd2
_symmetry_space_group_name_H-M 'I 4/m m m'
_symmetry_Int_Tables_number 139
_symmetry_space_group_name_Hall '-I 4 2'
_cell_length_a 8.162
_cell_length_b 8.162
_cell_length_c 5.905
_cell_angle_alpha 90.00
_cell_angle_beta 90.00
_cell_angle_gamma 90.00
loop_
_atom_site_label
_atom_site_type_symbol
_atom_site_fract_x
_atom_site_fract_y
_atom_site_fract_z
Ba1 Ba 0.000 0.000 0.000
Ag1 Ag 0.000 0.231 0.500
Pd1 Pd 0.000 0.500 0.250
```